# 1
CsK2AlCl6: relaxed, GGA-PBEsol.

Geometry as POSCAR:
```
CsK2AlCl6
1.0
0.000 5.454 5.454
5.454 0.000 5.454
5.454 5.454 0.000
Cs K Al Cl
1 2 1 6
Direct
0.000 0.000 0.000
0.250 0.250 0.250
0.750 0.750 0.750
0.500 0.500 0.500
0.288 0.288 0.712
0.288 0.712 0.288
0.288 0.712 0.712
0.712 0.288 0.288
0.712 0.288 0.712
0.712 0.712 0.288
```

electronic total energy: -3.652 eV per atom
energy relative to the elements, uncorrected: -1.717 eV per atom

=====

# 2
Cs2NaAlCl6: relaxed, GGA-PBEsol.

Geometry as POSCAR:
```
Cs2NaAlCl6
1.0
0.000 5.101 5.101
5.101 0.000 5.101
5.101 5.101 0.000
Cs Na Al Cl
2 1 1 6
Direct
0.250 0.250 0.250
0.750 0.750 0.750
0.000 0.000 0.000
0.500 0.500 0.500
0.271 0.271 0.729
0.271 0.729 0.271
0.271 0.729 0.729
0.729 0.271 0.271
0.729 0.271 0.729
0.729 0.729 0.271
```

electronic total energy: -3.771 eV per atom
energy relative to the elements, uncorrected: -1.829 eV per atom

=====

# 3
CsAl2OsCl: relaxed, GGA-PBEsol.

Geometry as POSCAR:
```
CsAl2OsCl
1.0
6.177 0.000 0.000
0.000 6.177 0.000
0.000 0.000 4.958
Cs Al Os Cl
1 2 1 1
Direct
0.000 0.000 0.000
0.000 0.500 0.000
0.500 0.000 0.000
0.000 0.000 0.500
0.500 0.500 0.500
```

electronic total energy: -2.403 eV per atom
energy relative to the elements, uncorrected: 2.267 eV per atom

=====

# 4
Cs2AlTlCl6: relaxed, GGA-PBEsol.

Geometry as POSCAR:
```
Cs2AlTlCl6
1.0
0.000 5.318 5.318
5.318 0.000 5.318
5.318 5.318 0.000
Cs Al Tl Cl
2 1 1 6
Direct
0.250 0.250 0.250
0.750 0.750 0.750
0.000 0.000 0.000
0.500 0.500 0.500
0.219 0.219 0.781
0.219 0.781 0.219
0.219 0.781 0.781
0.781 0.219 0.219
0.781 0.219 0.781
0.781 0.781 0.219
```

electronic total energy: -3.706 eV per atom
energy relative to the elements, uncorrected: -1.641 eV per atom

=====

# 5
AlCu2Cl: relaxed, GGA-PBEsol.

Geometry as POSCAR:
```
AlCu2Cl
1.0
3.002 0.000 0.000
0.000 3.002 0.000
0.000 0.000 6.706
Al Cu Cl
1 2 1
Direct
0.000 0.000 0.000
0.000 0.000 0.600
0.500 0.500 0.814
0.500 0.500 0.377
```

electronic total energy: -3.676 eV per atom
energy relative to the elements, uncorrected: 0.016 eV per atom

=====

# 6
AlCuCl3: relaxed, GGA-PBEsol.

Geometry as POSCAR:
```
AlCuCl3
1.0
4.673 0.000 0.000
0.000 4.673 0.000
0.000 0.000 4.673
Al Cu Cl
1 1 3
Direct
0.000 0.000 0.000
0.500 0.500 0.500
0.000 0.500 0.500
0.500 0.000 0.500
0.500 0.500 0.000
```

electronic total energy: -3.263 eV per atom
energy relative to the elements, uncorrected: -0.373 eV per atom

=====

# 7
AlCuH28S2ClO22: relaxed, GGA-PBEsol.

Geometry as POSCAR:
```
AlCuH28S2ClO22
1.0
6.188 0.000 0.000
0.631 6.179 0.000
1.685 -0.032 12.907
Al Cu H S Cl O
1 1 28 2 1 22
Direct
0.000 0.000 0.000
0.000 0.500 0.500
0.014 0.160 0.379
0.019 0.915 0.803
0.032 0.606 0.285
0.144 0.102 0.678
0.190 0.676 0.093
0.205 0.621 0.969
0.213 0.158 0.135
0.224 0.430 0.685
0.231 0.150 0.445
0.280 0.856 0.682
0.302 0.222 0.907
0.344 0.731 0.479
0.382 0.958 0.896
0.384 0.523 0.402
0.616 0.477 0.598
0.618 0.042 0.104
0.656 0.269 0.521
0.698 0.778 0.093
0.720 0.144 0.318
0.769 0.850 0.555
0.776 0.570 0.315
0.787 0.842 0.865
0.795 0.379 0.031
0.810 0.324 0.907
0.856 0.898 0.322
0.968 0.394 0.715
0.981 0.085 0.197
0.986 0.840 0.621
0.481 0.445 0.195
0.519 0.555 0.805
0.500 0.000 0.500
0.069 0.105 0.125
0.104 0.347 0.667
0.112 0.245 0.417
0.129 0.719 0.027
0.134 0.939 0.694
0.270 0.072 0.931
0.275 0.590 0.201
0.292 0.589 0.466
0.347 0.468 0.880
0.442 0.572 0.701
0.445 0.225 0.160
0.555 0.775 0.840
0.558 0.428 0.299
0.653 0.532 0.120
0.708 0.411 0.534
0.725 0.410 0.799
0.730 0.928 0.069
0.866 0.061 0.306
0.871 0.281 0.973
0.888 0.755 0.583
0.896 0.653 0.333
0.931 0.895 0.875
```

electronic total energy: -5.327 eV per atom

=====

# 8
AlCl3F: relaxed, GGA-PBEsol.

Geometry as POSCAR:
```
AlCl3F
1.0
4.597 0.000 0.000
0.000 4.597 0.000
0.000 0.000 4.597
Al Cl F
1 3 1
Direct
0.000 0.000 0.000
0.000 0.500 0.500
0.500 0.000 0.500
0.500 0.500 0.000
0.500 0.500 0.500
```

electronic total energy: -2.268 eV per atom
energy relative to the elements, uncorrected: 0.140 eV per atom

=====

- What is the electronic total energy in the third record?
  -2.403 eV per atom